[1]
# Mg3SI (SCAN, single point on PBEsol structure)
# Total magnetic moment, μB/cell: 0.00
# VASP energy, eV per cell: -57.7
# Formation energy without anion corrections, eV/atom: 0.717
# Space-group type: Pm-3m
# D(E_F), states/eV/atom: 0.72
data_Mg3SI
_chemical_formula_sum 'Mg3 S1 I1'
_cell_length_a 5.554
_cell_length_b 5.554
_cell_length_c 5.554
_cell_angle_alpha 90.00
_cell_angle_beta 90.00
_cell_angle_gamma 90.00
_symmetry_space_group_name_H-M 'P 1'
_symmetry_Int_Tables_number 1
_symmetry_space_group_name_Hall 'P 1'
loop_
_atom_site_label
_atom_site_type_symbol
_atom_site_fract_x
_atom_site_fract_y
_atom_site_fract_z
_atom_site_occupancy
Mg1 Mg 0.500 0.000 0.000 1
Mg2 Mg 0.000 0.500 0.000 1
Mg3 Mg 0.000 0.000 0.500 1
S1 S 0.500 0.500 0.500 1
I1 I 0.000 0.000 0.000 1

[2]
# MgS3I (SCAN, single point on PBEsol structure)
# Total magnetic moment, μB/cell: 0.00
# VASP energy, eV per cell: -69.0
# Formation energy without anion corrections, eV/atom: 0.322
# Space-group type: Pm-3m
# D(E_F), states/eV/atom: 0.88
data_MgS3I
_chemical_formula_sum 'Mg1 S3 I1'
_cell_length_a 4.761
_cell_length_b 4.761
_cell_length_c 4.761
_cell_angle_alpha 90.00
_cell_angle_beta 90.00
_cell_angle_gamma 90.00
_symmetry_space_group_name_H-M 'P 1'
_symmetry_Int_Tables_number 1
_symmetry_space_group_name_Hall 'P 1'
loop_
_atom_site_label
_atom_site_type_symbol
_atom_site_fract_x
_atom_site_fract_y
_atom_site_fract_z
_atom_site_occupancy
S1 S 0.000 0.000 0.500 1
S2 S 0.000 0.500 0.000 1
S3 S 0.500 0.000 0.000 1
I1 I 0.500 0.500 0.500 1
Mg1 Mg 0.000 0.000 0.000 1